1.
YSbPO2 | PBE | relaxed Values from VASP.

Computed properties:
- Energy above the most stable polymorph in this dataset: 0.229 eV/atom
- SG: No. 123
- Crystal system: tetragonal
- D(E_F): 3.05 states/eV/f.u.
- E_form (uncorrected): -891.9 meV per atom

The structure in Quantum ESPRESSO input format:
```
&SYSTEM
  ibrav = 0, nat = 5, ntyp = 4
/
ATOMIC_SPECIES
Y 88.91 Y.upf
Sb 121.76 Sb.upf
P 30.97 P.upf
O 16.00 O.upf
CELL_PARAMETERS angstrom
4.236 0.000 0.000
0.000 4.236 0.000
0.000 0.000 5.737
ATOMIC_POSITIONS angstrom
Y 0.000 0.000 0.000
Sb 2.118 2.118 2.869
P 0.000 0.000 2.869
O 0.000 2.118 0.000
O 2.118 0.000 0.000
```

---

2.
YSbP2O | PBE | relaxed Values from VASP.

Computed properties:
- Energy above the most stable polymorph in this dataset: 0.000 eV/atom
- SG: No. 123
- Crystal system: tetragonal
- D(E_F): 2.38 states/eV/f.u.
- E_form (uncorrected): -401.2 meV per atom

The structure in Quantum ESPRESSO input format:
```
&SYSTEM
  ibrav = 0, nat = 5, ntyp = 4
/
ATOMIC_SPECIES
Y 88.91 Y.upf
Sb 121.76 Sb.upf
P 30.97 P.upf
O 16.00 O.upf
CELL_PARAMETERS angstrom
5.051 0.000 0.000
0.000 5.051 0.000
0.000 0.000 4.011
ATOMIC_POSITIONS angstrom
Y 0.000 0.000 0.000
Sb 2.526 2.526 2.006
P 0.000 2.526 2.006
P 2.526 0.000 2.006
O 2.526 2.526 0.000
```

---

Energy list, top to bottom, in eV per atom: -6.0745; -5.6741